DFT (PBE) results for a relaxed structure of La5Tm2Th2.

Output
As for the formation energy: 0.1243 eV per atom. The electronic total energy comes out at -5.2557 eV/atom. The space-group type is No. 12. The value obtained for the total magnetization is 0.0 μB/cell. Its volume is 315.3 Å³/cell.

a = 3.702 Å, b = 17.007 Å, c = 13.559 Å
α = 157.35°, β = 89.97°, γ = 96.28°
Element x y z (fractional)
1 La 0.180 0.361 0.637
2 La 0.000 0.000 0.000
3 La 0.464 0.927 0.223
4 La 0.820 0.639 0.363
5 La 0.536 0.073 0.777
6 Th 0.142 0.284 0.808
7 Th 0.858 0.716 0.192
8 Tm 0.233 0.467 0.364
9 Tm 0.767 0.533 0.636